Below is a crystal of Li2NbP2O8 relaxed with PBEsol, with properties calculated at the meta-GGA SCAN level.

Cell: 5.9327 4.9100 9.9627 Å, 90.00 90.00 90.00°
Positions (direct):
Li (0.0000, 0.1897, 0.0000)
Li (0.0000, 0.8103, 0.5000)
Li (0.9980, 0.2307, 0.3227)
Li (0.9980, 0.7693, 0.8227)
Nb (0.4995, 0.3260, 0.7867)
Nb (0.4995, 0.6740, 0.2867)
P (0.9995, 0.3218, 0.6469)
P (0.9995, 0.6782, 0.1469)
P (0.4996, 0.0962, 0.4764)
P (0.4996, 0.9038, 0.9764)
O (0.2032, 0.4635, 0.7245)
O (0.2032, 0.5365, 0.2245)
O (0.2960, 0.0542, 0.9087)
O (0.2960, 0.9458, 0.4087)
O (0.4997, 0.0516, 0.6289)
O (0.4996, 0.4016, 0.4451)
O (0.4996, 0.5984, 0.9451)
O (0.4997, 0.9484, 0.1289)
O (0.7034, 0.0539, 0.9086)
O (0.7034, 0.9461, 0.4086)
O (0.7960, 0.4635, 0.7246)
O (0.7960, 0.5365, 0.2246)
O (0.9995, 0.0171, 0.6660)
O (0.9995, 0.4178, 0.5027)
O (0.9995, 0.5822, 0.0027)
O (0.9995, 0.9829, 0.1660)

Summary:
* symmetry: Pc, No. 7
* formation energy (no corrections): -2552 meV/atom
* ΔE to the lowest computed polymorph: 0.022 eV per atom
* uncorrected energy: -10.902 eV/atom

---

Below is a crystal of AlNiTe2 relaxed with PBEsol, with properties calculated at the meta-GGA SCAN level.

Cell: 4.8833 4.8833 3.7903 Å, 90.00 90.00 106.27°
Positions (direct):
Al (0.0000, 0.0000, 0.0000)
Ni (0.5000, 0.5000, 0.0000)
Te (0.2868, 0.7132, 0.5000)
Te (0.7132, 0.2868, 0.5000)

Summary:
* symmetry: Cmmm, No. 65
* formation energy (no corrections): 83 meV/atom
* uncorrected energy: -24.524 eV/atom